LaHg2W: optimized geometry, PBE.

Cell and atoms, written as POSCAR:
```
LaHg2W
1.0
0.035 4.172 -3.690
0.019 1.536 -5.354
-5.548 0.667 -1.003
Hg La W
2 1 1
Direct
0.483 0.483 0.532
0.017 0.017 0.968
0.250 0.250 0.250
0.750 0.750 0.750
```

Computed properties:
calculated volume	23.14	A^3/atom
raw total energy	-4.1437	eV/atom
energy relative to the lowest polymorph listed for this composition	54	meV per atom
space-group type	C2/m